one) The following is a DFT calculation (PBE) of crystalline Ga3Re3Ni2 at its relaxed geometry.

POSCAR file:
```
Ga3Re3Ni2
1.0
-0.412 2.728 4.683
-3.475 -4.028 -1.114
2.653 -2.805 1.868
Re Ni Ga
3 2 3
Direct
0.336 0.168 0.500
0.832 0.664 0.500
0.832 0.168 0.500
0.667 0.333 0.000
0.333 0.667 0.500
0.171 0.343 0.000
0.171 0.829 0.000
0.657 0.829 0.000
```

=====

two) The following is a DFT calculation (PBE) of crystalline Ga3Re3Ni2 at its relaxed geometry.

POSCAR file:
```
Ga3Re3Ni2
1.0
5.272 0.000 0.000
0.000 4.341 0.000
-2.219 0.000 4.826
Ni Ga Re
2 3 3
Direct
0.657 0.000 0.345
0.316 0.500 0.655
0.364 0.500 0.144
0.820 0.500 0.617
0.191 0.000 0.388
0.855 0.500 0.128
0.135 0.000 0.862
0.661 0.000 0.860
```

=====

Which of them is the most stable? Correct choice: one).

=====

one) The following is a DFT calculation (PBE) of crystalline Zr3Ga3Ni2 at its relaxed geometry.

POSCAR file:
```
Zr3Ga3Ni2
1.0
4.651 0.000 0.000
0.000 2.941 5.016
0.000 -2.941 5.016
Zr Ga Ni
3 3 2
Direct
0.000 0.829 0.829
0.500 0.659 0.185
0.500 0.185 0.659
0.500 0.175 0.175
0.000 0.349 0.826
0.000 0.826 0.349
0.000 0.314 0.314
0.500 0.663 0.663
```

=====

two) The following is a DFT calculation (PBE) of crystalline Zr3Ga3Ni2 at its relaxed geometry.

POSCAR file:
```
Zr3Ga3Ni2
1.0
-0.930 -5.578 0.041
1.352 -0.197 3.800
-5.309 2.262 2.006
Ga Ni Zr
3 2 3
Direct
0.081 0.000 0.882
0.595 0.000 0.856
0.917 0.500 0.158
0.302 0.500 0.683
0.697 0.000 0.288
0.409 0.500 0.106
0.220 0.000 0.427
0.780 0.500 0.600
```

=====

three) The following is a DFT calculation (PBE) of crystalline Zr3Ga3Ni2 at its relaxed geometry.

POSCAR file:
```
Zr3Ga3Ni2
1.0
-2.544 -1.716 5.500
-0.148 -3.947 -4.906
3.571 -1.576 1.160
Ga Ni Zr
3 2 3
Direct
0.055 0.528 0.500
0.472 0.945 0.500
0.472 0.528 0.500
0.333 0.667 0.000
0.000 0.000 0.500
0.835 0.670 0.000
0.330 0.165 0.000
0.835 0.165 0.000
```

=====

Which of them is the most stable? Correct choice: two).

=====

one) The following is a DFT calculation (PBE) of crystalline GaOsO4 at its relaxed geometry.

POSCAR file:
```
GaOsO4
1.0
-6.053 1.975 0.723
-6.171 -1.682 -0.377
2.004 -1.874 6.016
O Ga Os
8 2 2
Direct
0.731 0.734 0.316
0.063 0.066 0.389
0.881 0.884 0.017
0.266 0.269 0.684
0.116 0.119 0.983
0.934 0.937 0.611
0.355 0.358 0.298
0.642 0.645 0.702
0.809 0.813 0.730
0.187 0.191 0.270
0.890 0.894 0.298
0.106 0.110 0.702
```

=====

two) The following is a DFT calculation (PBE) of crystalline GaOsO4 at its relaxed geometry.

POSCAR file:
```
GaOsO4
1.0
-1.035 -4.665 -2.667
-4.582 2.257 1.963
2.298 3.521 -3.503
O Os Ga
8 2 2
Direct
0.059 0.758 0.301
0.508 0.706 0.199
0.550 0.247 0.303
0.508 0.309 0.801
0.997 0.193 0.197
0.456 0.758 0.699
0.943 0.247 0.697
0.997 0.800 0.803
0.501 0.001 0.500
0.751 0.751 0.000
0.240 0.240 0.000
0.990 0.490 0.500
```

=====

three) The following is a DFT calculation (PBE) of crystalline GaOsO4 at its relaxed geometry.

POSCAR file:
```
GaOsO4
1.0
-4.076 -1.111 2.309
4.113 -2.209 1.177
2.221 8.369 7.944
O Ga Os
12 3 3
Direct
0.666 0.010 0.706
0.010 0.666 0.294
0.681 0.028 0.212
0.344 0.334 0.373
0.319 0.347 0.122
0.653 0.972 0.455
0.990 0.656 0.040
0.656 0.990 0.960
0.972 0.653 0.545
0.347 0.319 0.878
0.028 0.681 0.788
0.334 0.344 0.627
0.415 0.000 0.333
0.000 0.415 0.667
0.585 0.585 0.000
0.433 0.000 0.833
0.567 0.567 0.500
0.000 0.433 0.167
```

=====

Which of them is the most stable? Correct choice: two).